Record 1
A plane-wave DFT calculation with PBE-GGA was carried out for an optimized crystal structure of RbPt.

a = 5.3635 Å, b = 5.3635 Å, c = 5.3635 Å
α = 60.00°, β = 60.00°, γ = 60.00°
Last column: magnetic moment on the atom in μB.
Sites, in units of the cell vectors:
Pt (0.0000, 0.0000, 0.0000)  0.76
Rb (0.2500, 0.2500, 0.2500)  0.02

Output
- E_tot: -0.1709 Ry/atom



Record 2
A plane-wave DFT calculation with PBE-GGA was carried out for an optimized crystal structure of GaSi2Ag.

a = 4.5992 Å, b = 4.5992 Å, c = 4.5992 Å
α = 60.00°, β = 60.00°, γ = 60.00°
Sites, in units of the cell vectors:
Si (0.5000, 0.5000, 0.5000)
Si (0.2500, 0.2500, 0.2500)
Ga (0.0000, 0.0000, 0.0000)
Ag (0.7500, 0.7500, 0.7500)

Output
- E_tot: -0.2762 Ry/atom



Record 3
A plane-wave DFT calculation with PBE-GGA was carried out for an optimized crystal structure of SrCd2O3.

a = 3.4720 Å, b = 3.4720 Å, c = 8.2150 Å
α = 90.00°, β = 90.00°, γ = 120.00°
Sites, in units of the cell vectors:
O (0.6667, 0.3333, 0.3211)
O (0.0000, 0.0000, 0.0000)
O (0.3333, 0.6667, 0.6789)
Cd (0.6667, 0.3333, 0.8407)
Cd (0.3333, 0.6667, 0.1593)
Sr (0.0000, 0.0000, 0.5000)

Output
- Excess energy over the best structure of this formula in the dataset: 11 meV per atom
- E_tot: -0.3407 Ry/atom



Record 4
A plane-wave DFT calculation with PBE-GGA was carried out for an optimized crystal structure of DyLu6Te2Pd2.

a = 9.2314 Å, b = 9.2314 Å, c = 9.2314 Å
α = 155.62°, β = 67.49°, γ = 118.16°
Sites, in units of the cell vectors:
Pd (0.3045, 0.0681, 0.2364)
Pd (0.8317, 0.0681, 0.7636)
Lu (0.3778, 0.7337, 0.6441)
Lu (0.0564, 0.3730, 0.6834)
Lu (0.0896, 0.7337, 0.3559)
Lu (0.6896, 0.3730, 0.3166)
Lu (0.7138, 0.5829, 0.1309)
Lu (0.4520, 0.5829, 0.8691)
Te (0.3389, 0.3389, 0.0000)
Te (0.7328, 0.2328, 0.5000)
Dy (0.9995, 0.9995, 0.0000)

Output
- E_tot: -0.3859 Ry/atom



Record 5
A plane-wave DFT calculation with PBE-GGA was carried out for an optimized crystal structure of Y2Lu4Au3C3.

a = 6.2493 Å, b = 6.2493 Å, c = 14.3962 Å
α = 102.63°, β = 102.63°, γ = 60.04°
Sites, in units of the cell vectors:
C (0.5000, 0.0000, 0.0000)
C (0.8359, 0.3320, 0.0000)
C (0.6680, 0.1641, 0.5000)
C (0.1641, 0.6680, 0.0000)
C (0.3320, 0.8359, 0.5000)
C (0.0000, 0.5000, 0.5000)
Y (0.4654, 0.6294, 0.8971)
Y (0.3706, 0.5346, 0.6029)
Y (0.6294, 0.4654, 0.3971)
Y (0.5346, 0.3706, 0.1029)
Au (0.4165, 0.2022, 0.7496)
Au (0.9606, 0.0394, 0.2500)
Au (0.7978, 0.5835, 0.7504)
Au (0.5835, 0.7978, 0.2504)
Au (0.0394, 0.9606, 0.7500)
Au (0.2022, 0.4165, 0.2496)
Lu (0.0272, 0.1994, 0.5896)
Lu (0.1393, 0.3027, 0.9106)
Lu (0.8006, 0.9728, 0.9104)
Lu (0.1994, 0.0272, 0.0896)
Lu (0.8607, 0.6973, 0.0894)
Lu (0.6973, 0.8607, 0.5894)
Lu (0.9728, 0.8006, 0.4104)
Lu (0.3027, 0.1393, 0.4106)

Output
- E_tot: -0.4616 Ry/atom



Record 6
A plane-wave DFT calculation with PBE-GGA was carried out for an optimized crystal structure of LuGaFeAg.

a = 4.6225 Å, b = 4.6225 Å, c = 4.6225 Å
α = 60.00°, β = 60.00°, γ = 60.00°
Sites, in units of the cell vectors:
Fe (0.7500, 0.7500, 0.7500)
Ga (0.0000, 0.0000, 0.0000)
Lu (0.5000, 0.5000, 0.5000)
Ag (0.2500, 0.2500, 0.2500)

Output
- Excess energy over the best structure of this formula in the dataset: 27 meV per atom
- E_tot: -0.3460 Ry/atom



Record 7
A plane-wave DFT calculation with PBE-GGA was carried out for an optimized crystal structure of GdErIn2.

a = 3.5235 Å, b = 3.5235 Å, c = 8.4993 Å
α = 90.00°, β = 90.00°, γ = 90.00°
Last column: magnetic moment on the atom in μB.
Sites, in units of the cell vectors:
Er (0.0000, 0.0000, 0.0000)  0.06
In (0.5000, 0.5000, 0.2453)  0.00
In (0.5000, 0.5000, 0.7547)  0.00
Gd (0.0000, 0.0000, 0.5000)  0.00

Output
- E_tot: -0.3042 Ry/atom



Record 8
A plane-wave DFT calculation with PBE-GGA was carried out for an optimized crystal structure of HfBi2W2.

a = 6.6315 Å, b = 6.6315 Å, c = 6.6315 Å
α = 140.29°, β = 140.29°, γ = 57.42°
Sites, in units of the cell vectors:
Bi (0.6208, 0.6208, 0.0000)
Bi (0.3792, 0.3792, 0.0000)
Hf (0.0000, 0.0000, 0.0000)
W (0.7500, 0.2500, 0.5000)
W (0.2500, 0.7500, 0.5000)

Output
- E_tot: -0.5426 Ry/atom



Record 9
A plane-wave DFT calculation with PBE-GGA was carried out for an optimized crystal structure of SmAlI.

a = 4.3400 Å, b = 4.3400 Å, c = 12.6489 Å
α = 100.12°, β = 100.12°, γ = 60.00°
Sites, in units of the cell vectors:
Al (0.1616, 0.1616, 0.9853)
Al (0.8384, 0.8384, 0.0147)
I (0.7203, 0.7203, 0.6689)
I (0.2797, 0.2797, 0.3311)
Sm (0.4421, 0.4421, 0.8304)
Sm (0.5579, 0.5579, 0.1696)

Output
- E_tot: -0.3135 Ry/atom



Record 10
A plane-wave DFT calculation with PBE-GGA was carried out for an optimized crystal structure of PuAlGa.

a = 4.6064 Å, b = 4.6064 Å, c = 4.6064 Å
α = 60.00°, β = 60.00°, γ = 60.00°
Last column: magnetic moment on the atom in μB.
Sites, in units of the cell vectors:
Pu (0.0000, 0.0000, 0.0000)  5.39
Al (0.5000, 0.5000, 0.5000)  0.00
Ga (0.2500, 0.2500, 0.2500)  0.02

Output
- E_tot: -0.5268 Ry/atom



Record 11
A plane-wave DFT calculation with PBE-GGA was carried out for an optimized crystal structure of Na2Hg2O5.

a = 8.2320 Å, b = 4.0214 Å, c = 4.0214 Å
α = 90.00°, β = 90.00°, γ = 90.00°
Sites, in units of the cell vectors:
O (0.5000, 0.5000, 0.5000)
O (0.1676, 0.0000, 0.5000)
O (0.8324, 0.5000, 0.0000)
O (0.1676, 0.5000, 0.0000)
O (0.8324, 0.0000, 0.5000)
Hg (0.2345, 0.5000, 0.5000)
Hg (0.7655, 0.5000, 0.5000)
Na (0.5000, 0.0000, 0.0000)
Na (0.0000, 0.0000, 0.0000)

Output
- Excess energy over the best structure of this formula in the dataset: 0 meV per atom
- E_tot: -0.2436 Ry/atom



Record 12
A plane-wave DFT calculation with PBE-GGA was carried out for an optimized crystal structure of CdSbW4N2.

a = 2.9751 Å, b = 2.9751 Å, c = 14.8792 Å
α = 90.00°, β = 90.00°, γ = 120.00°
Sites, in units of the cell vectors:
W (0.6667, 0.3333, 0.1651)
W (0.6667, 0.3333, 0.8349)
W (0.0000, 0.0000, 0.3478)
W (0.0000, 0.0000, 0.6522)
N (0.3333, 0.6667, 0.2553)
N (0.3333, 0.6667, 0.7447)
Sb (0.6667, 0.3333, 0.5000)
Cd (0.0000, 0.0000, 0.0000)

Output
- E_tot: -0.6435 Ry/atom



Record 13
A plane-wave DFT calculation with PBE-GGA was carried out for an optimized crystal structure of Hf2GaTe2.

a = 8.1176 Å, b = 8.1176 Å, c = 8.1176 Å
α = 149.55°, β = 149.55°, γ = 43.61°
Sites, in units of the cell vectors:
Hf (0.7500, 0.2500, 0.5000)
Hf (0.2500, 0.7500, 0.5000)
Ga (0.0000, 0.0000, 0.0000)
Te (0.6164, 0.6164, 0.0000)
Te (0.3836, 0.3836, 0.0000)

Output
- E_tot: -0.4419 Ry/atom



Record 14
A plane-wave DFT calculation with PBE-GGA was carried out for an optimized crystal structure of Tb2PrZn4Si4.

a = 12.6843 Å, b = 12.6843 Å, c = 12.6843 Å
α = 161.43°, β = 161.27°, γ = 26.49°
Sites, in units of the cell vectors:
Si (0.1903, 0.6903, 0.5000)
Si (0.5483, 0.5483, 0.0000)
Si (0.4517, 0.4517, 0.0000)
Si (0.8097, 0.3097, 0.5000)
Zn (0.0953, 0.5953, 0.5000)
Zn (0.2503, 0.2503, 0.0000)
Zn (0.7497, 0.7497, 0.0000)
Zn (0.9047, 0.4047, 0.5000)
Pr (0.0000, 0.0000, 0.0000)
Tb (0.3556, 0.8556, 0.5000)
Tb (0.6444, 0.1444, 0.5000)

Output
- E_tot: -0.3124 Ry/atom



Record 15
A plane-wave DFT calculation with PBE-GGA was carried out for an optimized crystal structure of ZrAgO3.

a = 5.3976 Å, b = 5.7831 Å, c = 8.0523 Å
α = 90.00°, β = 90.00°, γ = 90.00°
Last column: magnetic moment on the atom in μB.
Sites, in units of the cell vectors:
O (0.6959, 0.2970, 0.4293)  -0.04
O (0.8041, 0.7970, 0.0707)  -0.05
O (0.1381, 0.4396, 0.2500)  -0.01
O (0.8041, 0.7970, 0.4293)  -0.05
O (0.3619, 0.9396, 0.2500)  -0.01
O (0.8619, 0.5604, 0.7500)  -0.01
O (0.1959, 0.2030, 0.5707)  -0.05
O (0.1959, 0.2030, 0.9293)  -0.05
O (0.6381, 0.0604, 0.7500)  -0.01
O (0.3041, 0.7030, 0.5707)  -0.05
O (0.6959, 0.2970, 0.0707)  -0.05
O (0.3041, 0.7030, 0.9293)  -0.05
Ag (0.5188, 0.5797, 0.2500)  -0.06
Ag (0.0188, 0.9203, 0.7500)  -0.05
Ag (0.4812, 0.4203, 0.7500)  -0.06
Ag (0.9812, 0.0797, 0.2500)  -0.05
Zr (0.5000, 0.0000, 0.0000)  0.01
Zr (0.0000, 0.5000, 0.5000)  0.01
Zr (0.5000, 0.0000, 0.5000)  0.01
Zr (0.0000, 0.5000, 0.0000)  0.01

Output
- E_tot: -0.5208 Ry/atom



Record 16
A plane-wave DFT calculation with PBE-GGA was carried out for an optimized crystal structure of ScHg3F6.

a = 5.1239 Å, b = 5.1239 Å, c = 6.4718 Å
α = 90.00°, β = 90.00°, γ = 120.00°
Sites, in units of the cell vectors:
F (0.3115, 0.0000, 0.1942)
F (0.0000, 0.6885, 0.8058)
F (0.6885, 0.0000, 0.8058)
F (0.6886, 0.6885, 0.1942)
F (0.0000, 0.3115, 0.1942)
F (0.3115, 0.3115, 0.8058)
Hg (0.3333, 0.6667, 0.5000)
Hg (0.0000, 0.0000, 0.5000)
Hg (0.6667, 0.3333, 0.5000)
Sc (0.0000, 0.0000, 0.0000)

Output
- E_tot: -0.2829 Ry/atom



Record 17
A plane-wave DFT calculation with PBE-GGA was carried out for an optimized crystal structure of AgGe2Mo2.

a = 6.3565 Å, b = 6.3565 Å, c = 6.3565 Å
α = 143.83°, β = 143.83°, γ = 52.09°
Sites, in units of the cell vectors:
Ge (0.6040, 0.6040, 0.0000)
Ge (0.3960, 0.3960, 0.0000)
Mo (0.2500, 0.7500, 0.5000)
Mo (0.7500, 0.2500, 0.5000)
Ag (0.0000, 0.0000, 0.0000)

Output
- E_tot: -0.4746 Ry/atom



Record 18
A plane-wave DFT calculation with PBE-GGA was carried out for an optimized crystal structure of Sc2Bi2PdPt.

a = 7.9895 Å, b = 4.6122 Å, c = 15.2874 Å
α = 90.00°, β = 100.00°, γ = 90.00°
Sites, in units of the cell vectors:
Sc (0.1860, 0.0000, 0.5618)
Sc (0.9380, 0.5000, 0.3121)
Sc (0.6842, 0.0000, 0.0620)
Sc (0.6891, 0.5000, 0.5637)
Sc (0.9332, 0.0000, 0.8108)
Sc (0.4367, 0.0000, 0.3121)
Sc (0.4417, 0.5000, 0.8141)
Sc (0.1911, 0.5000, 0.0634)
Bi (0.0615, 0.0000, 0.1862)
Bi (0.0653, 0.5000, 0.6875)
Bi (0.8159, 0.5000, 0.9387)
Bi (0.5633, 0.5000, 0.1879)
Bi (0.3133, 0.5000, 0.4387)
Bi (0.3092, 0.0000, 0.9363)
Bi (0.5592, 0.0000, 0.6866)
Bi (0.8125, 0.0000, 0.4385)
Pt (0.7494, 0.0000, 0.2496)
Pt (0.7494, 0.5000, 0.7498)
Pt (0.5001, 0.5000, 0.0003)
Pt (0.2503, 0.5000, 0.2497)
Pd (0.2502, 0.0000, 0.7500)
Pd (0.0000, 0.0000, 0.0000)
Pd (0.5001, 0.0000, 0.5004)
Pd (0.0000, 0.5000, 0.5001)

Output
- E_tot: -0.4573 Ry/atom



Record 19
A plane-wave DFT calculation with PBE-GGA was carried out for an optimized crystal structure of Zr5Sb3P.

a = 8.5383 Å, b = 8.5383 Å, c = 6.0467 Å
α = 90.00°, β = 90.00°, γ = 120.00°
Sites, in units of the cell vectors:
Sb (0.5999, 0.5999, 0.7500)
Sb (0.5999, 0.0000, 0.2500)
Sb (0.4001, 0.4001, 0.2500)
Sb (0.0000, 0.5999, 0.2500)
Sb (0.0000, 0.4001, 0.7500)
Sb (0.4001, 0.0000, 0.7500)
P (0.0000, 0.0000, 0.0000)
P (0.0000, 0.0000, 0.5000)
Zr (0.6667, 0.3333, 0.0000)
Zr (0.6667, 0.3333, 0.5000)
Zr (0.3333, 0.6667, 0.5000)
Zr (0.7502, 0.7502, 0.2500)
Zr (0.2498, 0.2498, 0.7500)
Zr (0.0000, 0.7502, 0.7500)
Zr (0.0000, 0.2498, 0.2500)
Zr (0.3333, 0.6667, 0.0000)
Zr (0.2498, 0.0000, 0.2500)
Zr (0.7502, 0.0000, 0.7500)

Output
- E_tot: -0.5606 Ry/atom



Record 20
A plane-wave DFT calculation with PBE-GGA was carried out for an optimized crystal structure of HoLuAsO.

a = 4.1350 Å, b = 7.3941 Å, c = 5.8718 Å
α = 90.00°, β = 90.00°, γ = 90.00°
Sites, in units of the cell vectors:
Ho (0.0000, 0.2117, 0.4360)
Ho (0.0000, 0.7883, 0.9360)
O (0.5000, 0.6668, 0.8757)
O (0.5000, 0.3332, 0.3757)
Lu (0.5000, 0.3911, 0.0176)
Lu (0.5000, 0.6089, 0.5176)
As (0.0000, 0.1680, 0.9247)
As (0.0000, 0.8320, 0.4247)

Output
- Excess energy over the best structure of this formula in the dataset: 0 meV per atom
- E_tot: -0.4891 Ry/atom



Record 21
A plane-wave DFT calculation with PBE-GGA was carried out for an optimized crystal structure of BeCuBPt.

a = 3.9748 Å, b = 3.9748 Å, c = 3.9748 Å
α = 60.00°, β = 60.00°, γ = 60.00°
Sites, in units of the cell vectors:
B (0.0000, 0.0000, 0.0000)
Cu (0.7500, 0.7500, 0.7500)
Pt (0.5000, 0.5000, 0.5000)
Be (0.2500, 0.2500, 0.2500)

Output
- Excess energy over the best structure of this formula in the dataset: 412 meV per atom
- E_tot: -0.3379 Ry/atom



Record 22
A plane-wave DFT calculation with PBE-GGA was carried out for an optimized crystal structure of NaCu2Ge2.

a = 5.9517 Å, b = 5.9517 Å, c = 5.9517 Å
α = 139.60°, β = 139.60°, γ = 58.47°
Sites, in units of the cell vectors:
Cu (0.2500, 0.7500, 0.5000)
Cu (0.7500, 0.2500, 0.5000)
Ge (0.6211, 0.6211, 0.0000)
Ge (0.3789, 0.3789, 0.0000)
Na (0.0000, 0.0000, 0.0000)

Output
- Excess energy over the best structure of this formula in the dataset: 0 meV per atom
- E_tot: -0.2672 Ry/atom



Record 23
A plane-wave DFT calculation with PBE-GGA was carried out for an optimized crystal structure of BaHoGaS3.

a = 7.4769 Å, b = 7.4769 Å, c = 11.2415 Å
α = 90.00°, β = 90.00°, γ = 148.81°
Sites, in units of the cell vectors:
Ba (0.8071, 0.1929, 0.2500)
Ba (0.1929, 0.8071, 0.7500)
Ho (0.5000, 0.5000, 0.5000)
Ho (0.5000, 0.5000, 0.0000)
S (0.4953, 0.5047, 0.2500)
S (0.5047, 0.4953, 0.7500)
S (0.1259, 0.8741, 0.0063)
S (0.1259, 0.8741, 0.4937)
S (0.8741, 0.1259, 0.9937)
S (0.8741, 0.1259, 0.5063)
Ga (0.8874, 0.1126, 0.7500)
Ga (0.1126, 0.8874, 0.2500)

Output
- E_tot: -0.3760 Ry/atom



| no. | V (Å³ per cell) |
| --- | --- |
| 1 | 109.1 |
| 2 | 68.8 |
| 3 | 85.8 |
| 4 | 283.9 |
| 5 | 471.3 |
| 6 | 69.8 |
| 7 | 105.5 |
| 8 | 118.0 |
| 9 | 202.0 |
| 10 | 69.1 |
| 11 | 133.1 |
| 12 | 114.1 |
| 13 | 137.0 |
| 14 | 208.6 |
| 15 | 251.3 |
| 16 | 147.1 |
| 17 | 89.0 |
| 18 | 554.8 |
| 19 | 381.8 |
| 20 | 179.5 |
| 21 | 44.4 |
| 22 | 87.8 |
| 23 | 325.5 |